No. 1
UInNi PBE relaxed; space group = F-43m, No. 216; M_tot = 0.45 μB/atom; calculated formation energy = 0.10 eV per atom
1.0
4.5163 0.0000 0.0000
2.2581 3.9112 0.0000
2.2581 1.3037 3.6875
U Ni In
1 1 1
direct
0.5000 0.5000 0.5000
0.2500 0.2500 0.2500
0.0000 0.0000 0.0000


No. 2
Pu3NiC3 PBE relaxed; space group = P6_3/m, No. 176; M_tot = 1.89 μB/atom; calculated formation energy = 0.06 eV per atom
1.0
4.7594 0.0000 0.0000
0.0000 6.2997 -3.6371
0.0000 0.0000 7.2743
Pu C Ni
6 6 2
direct
0.7500 0.7185 0.6435
0.2500 0.2815 0.3565
0.2500 0.0751 0.7185
0.7500 0.9249 0.2815
0.2500 0.6435 0.9249
0.7500 0.3565 0.0751
0.7500 0.5983 0.9256
0.2500 0.9256 0.3272
0.2500 0.6728 0.5983
0.2500 0.4017 0.0744
0.7500 0.0744 0.6728
0.7500 0.3272 0.4017
0.7500 0.3333 0.6667
0.2500 0.6667 0.3333


No. 3
PrZn2SiPd4 PBE relaxed; raw formation energy = -0.60 eV per atom; space group = R-3m, No. 166; M_tot = 0.00 μB/atom
1.0
4.3250 0.0000 0.0000
2.1625 3.7456 0.0000
2.1625 1.2485 8.6359
Pd Zn Si Pr
4 2 1 1
direct
0.8628 0.8628 0.4115
0.4068 0.4068 0.7797
0.5932 0.5932 0.2203
0.1372 0.1372 0.5885
0.7558 0.7558 0.7326
0.2442 0.2442 0.2674
0.5000 0.5000 0.5000
0.0000 0.0000 0.0000


No. 4
MgInSi PBE relaxed; raw formation energy = 0.22 eV per atom; space group = P3m1, No. 156; M_tot = 0.00 μB/atom
1.0
-0.6691 1.4853 2.8382
-0.9213 -3.1033 -0.4798
6.0058 -2.1780 2.5558
Si In Mg
1 1 1
direct
0.3333 0.6667 0.6566
0.0000 0.0000 0.9912
0.6667 0.3333 0.3523


No. 5
Tl2MoSe PBE relaxed; excess energy over the best structure of this formula in the dataset = 0.8205 eV per atom; raw formation energy = 0.90 eV per atom; space group = Fm-3m, No. 225; M_tot = 1.02 μB/atom
1.0
0.0000 3.7096 3.7096
3.7096 0.0000 3.7096
3.7096 3.7096 0.0000
Mo Tl Se
1 2 1
direct
0.5000 0.5000 0.5000
0.2500 0.2500 0.2500
0.7500 0.7500 0.7500
0.0000 0.0000 0.0000


No. 6
Ca2YCu PBE relaxed; excess energy over the best structure of this formula in the dataset = 0.1826 eV per atom; space group = R-3m, No. 166; M_tot = 0.16 μB/atom; calculated formation energy = 0.13 eV per atom
1.0
10.3658 -0.0354 -0.0209
9.6854 3.6939 -0.0209
9.6854 1.7672 3.2438
Ca Y Cu
2 1 1
direct
0.5197 0.5197 0.5197
0.9803 0.9803 0.9803
0.7500 0.7500 0.7500
0.2500 0.2500 0.2500


No. 7
AgPt2Br PBE relaxed; excess energy over the best structure of this formula in the dataset = 0.2320 eV per atom; raw formation energy = 0.43 eV per atom; space group = Pmmm, No. 47; M_tot = 0.00 μB/atom
1.0
-2.5703 1.2996 -0.0072
-1.3958 -2.7817 -3.8304
-1.7764 -3.4958 3.1861
Ag Pt Br
1 2 1
direct
0.5000 0.0000 0.5000
0.5000 0.5000 0.0000
0.0000 0.0000 0.0000
0.0000 0.5000 0.5000


No. 8
CeErFeNi PBE relaxed; space group = F-43m, No. 216; M_tot = 0.11 μB/atom; calculated formation energy = -0.10 eV per atom
1.0
-3.3501 1.8502 -2.8052
-4.5149 -1.3832 0.4664
-3.2212 2.9826 1.8010
Ni Er Ce Fe
1 1 1 1
direct
0.2500 0.2500 0.2500
0.0000 0.0000 0.0000
0.5000 0.5000 0.5000
0.7500 0.7500 0.7500


No. 9
YAg2Mo PBE relaxed; excess energy over the best structure of this formula in the dataset = 0.0785 eV per atom; space group = Fm-3m, No. 225; M_tot = 0.62 μB/atom; calculated formation energy = 0.37 eV per atom
1.0
0.0000 3.4531 3.4531
3.4531 0.0000 3.4531
3.4531 3.4531 0.0000
Ag Y Mo
2 1 1
direct
0.2500 0.2500 0.2500
0.7500 0.7500 0.7500
0.0000 0.0000 0.0000
0.5000 0.5000 0.5000


No. 10
CdSiPO2 PBE relaxed; excess energy over the best structure of this formula in the dataset = 1.5251 eV per atom; raw formation energy = 0.65 eV per atom; space group = P4/mmm, No. 123; M_tot = 0.14 μB/atom
1.0
-2.7580 0.5473 2.9006
-2.9342 -0.0759 -2.7756
-0.4177 -5.1986 0.5838
O Cd P Si
2 1 1 1
direct
0.0000 0.5000 0.0000
0.5000 0.0000 0.0000
0.0000 0.0000 0.0000
0.0000 0.0000 0.5000
0.5000 0.5000 0.5000


No. 11
BOs3I PBE relaxed; excess energy over the best structure of this formula in the dataset = 2.6354 eV per atom; raw formation energy = 3.72 eV per atom; space group = Pm-3m, No. 221; M_tot = 0.46 μB/atom
1.0
4.8359 0.0000 0.0000
0.0000 4.8359 0.0000
0.0000 0.0000 4.8359
B I Os
1 1 3
direct
0.5000 0.5000 0.5000
0.0000 0.0000 0.0000
0.5000 0.0000 0.0000
0.0000 0.5000 0.0000
0.0000 0.0000 0.5000


No. 12
TbPmAlPt PBE relaxed; excess energy over the best structure of this formula in the dataset = 0.0000 eV per atom; space group = Amm2, No. 38; M_tot = 0.00 μB/atom; calculated formation energy = -0.80 eV per atom
1.0
-3.9723 0.6781 -1.5837
0.6055 -2.7963 -2.7160
-0.1301 -4.3043 4.4024
Al Pm Tb Pt
1 1 1 1
direct
0.4365 0.0000 0.8730
0.8454 0.5000 0.6908
0.1354 0.0000 0.2708
0.5827 0.5000 0.1655